No. 1
CoSb2PtI: optimized geometry, PBE.

Summary:
Magnetization ... 0.00 μB/atom
Calculated volume ... 23.99 Å³/atom
VASP energy ... -3.946 eV/atom
Energy above the most stable polymorph in this dataset ... 0.0000 eV per atom
Symmetry ... P4/mmm, No. 123
Uncorrected formation energy ... 0.6422 eV per atom
Density ... 8.6 g/cm³

Unit cell a=4.8206 b=4.8206 c=5.1618 alpha=90.00 beta=90.00 gamma=90.00
Closest atoms and distances in Å follow each position.
Atoms (fractional coordinates):
Co  0.0000  0.0000  0.0000  4 Sb 2.41, 2 I 2.58
Sb  0.0000  0.5000  0.0000  2 Co 2.41
Sb  0.5000  0.0000  0.0000  2 Co 2.41
Pt  0.5000  0.5000  0.5000  4 I 3.41, 8 Sb 3.53
I  0.0000  0.0000  0.5000  2 Co 2.58



No. 2
MnCrTcRh: optimized geometry, PBE.

Summary:
Magnetization ... 1.23 μB/atom
Calculated volume ... 13.64 Å³/atom
VASP energy ... -9.121 eV/atom
Symmetry ... F-43m, No. 216
Density ... 9.4 g/cm³

Unit cell a=4.2571 b=4.2571 c=4.2571 alpha=60.00 beta=60.00 gamma=60.00
Closest atoms and distances in Å follow each position.
Atoms (fractional coordinates):
Mn  0.0000  0.0000  0.0000  4 Rh 2.61, 4 Tc 2.61
Cr  0.5000  0.5000  0.5000  4 Tc 2.61, 4 Rh 2.61
Tc  0.2500  0.2500  0.2500  4 Cr 2.61, 4 Mn 2.61
Rh  0.7500  0.7500  0.7500  4 Cr 2.61, 4 Mn 2.61



No. 3
Li5PdPb4: optimized geometry, PBE.

Summary:
Magnetization ... 0.00 μB/atom
Calculated volume ... 20.43 Å³/atom
VASP energy ... -3.253 eV/atom
Symmetry ... P4/mmm, No. 123
Density ... 7.9 g/cm³

Unit cell a=3.5235 b=3.5235 c=16.4541 alpha=90.00 beta=90.00 gamma=90.00
Closest atoms and distances in Å follow each position.
Atoms (fractional coordinates):
Li  0.0000  0.0000  0.0000  8 Pb 3.04
Li  0.0000  0.0000  0.2146  8 Pb 3.06-3.08
Li  0.0000  0.0000  0.4237  1 Li 2.51, 4 Pd 2.79
Li  0.0000  0.0000  0.5763  1 Li 2.51, 4 Pd 2.79
Li  0.0000  0.0000  0.7854  8 Pb 3.06-3.08
Pd  0.5000  0.5000  0.5000  8 Li 2.79, 2 Pb 2.88
Pb  0.5000  0.5000  0.1062  8 Li 3.04-3.06
Pb  0.5000  0.5000  0.3249  1 Pd 2.88, 8 Li 2.97-3.08
Pb  0.5000  0.5000  0.6751  1 Pd 2.88, 8 Li 2.97-3.08
Pb  0.5000  0.5000  0.8938  8 Li 3.04-3.06



No. 4
CrPd4: optimized geometry, PBE.

Summary:
Magnetization ... 0.57 μB/atom
Calculated volume ... 15.86 Å³/atom
VASP energy ... -5.947 eV/atom
Energy above the most stable polymorph in this dataset ... 0.0000 eV per atom
Symmetry ... I4_1/a, No. 88
Density ... 10.0 g/cm³

Unit cell a=7.0470 b=7.0470 c=7.0470 alpha=137.38 beta=137.38 gamma=61.86
Closest atoms and distances in Å follow each position.
Atoms (fractional coordinates):
Cr  0.3750  0.1250  0.2500  8 Pd 2.51-2.53
Cr  0.6250  0.8750  0.7500  8 Pd 2.51-2.53
Pd  0.0762  0.2111  0.3782  2 Cr 2.51-2.53, 4 Pd 2.77-2.79
Pd  0.1981  0.5762  0.3651  2 Cr 2.51-2.53, 4 Pd 2.77-2.79
Pd  0.2889  0.1670  0.8651  2 Cr 2.51-2.53, 4 Pd 2.77-2.79
Pd  0.3330  0.6981  0.1218  2 Cr 2.51-2.53, 4 Pd 2.77-2.79
Pd  0.6670  0.3019  0.8782  2 Cr 2.51-2.53, 4 Pd 2.77-2.79
Pd  0.7111  0.8330  0.1349  2 Cr 2.51-2.53, 4 Pd 2.77-2.79
Pd  0.8019  0.4238  0.6349  2 Cr 2.51-2.53, 4 Pd 2.77-2.79
Pd  0.9238  0.7889  0.6218  2 Cr 2.51-2.53, 4 Pd 2.77-2.79



No. 5
Na9Tl2Cd3: optimized geometry, PBE.

Summary:
Magnetization ... 0.00 μB/atom
Calculated volume ... 28.65 Å³/atom
VASP energy ... -1.414 eV/atom
Symmetry ... Immm, No. 71
Density ... 3.9 g/cm³

Unit cell a=9.2530 b=9.2530 c=9.2530 alpha=144.84 beta=116.24 gamma=74.95
Closest atoms and distances in Å follow each position.
Atoms (fractional coordinates):
Na  0.0000  0.0000  0.0000  4 Cd 3.36, 4 Na 3.59
Na  0.1320  0.2899  0.8420  4 Na 3.09-3.24, 1 Tl 3.38, 2 Cd 3.42-3.45
Na  0.2304  0.8970  0.3334  5 Na 3.02-3.26
Na  0.4363  0.1030  0.3334  5 Na 3.02-3.26
Na  0.4479  0.2899  0.1580  4 Na 3.09-3.24, 1 Tl 3.38, 2 Cd 3.42-3.45
Na  0.5521  0.7101  0.8420  4 Na 3.09-3.24, 1 Tl 3.38, 2 Cd 3.42-3.45
Na  0.5637  0.8970  0.6666  5 Na 3.02-3.26
Na  0.7696  0.1030  0.6666  5 Na 3.02-3.26
Na  0.8680  0.7101  0.1580  4 Na 3.09-3.24, 1 Tl 3.38, 2 Cd 3.42-3.45
Tl  0.1743  0.6743  0.5000  2 Cd 3.17, 2 Na 3.38
Tl  0.8257  0.3257  0.5000  2 Cd 3.17, 2 Na 3.38
Cd  0.1912  0.5000  0.6912  1 Cd 3.02, 2 Tl 3.17, 2 Na 3.36
Cd  0.5000  0.5000  0.0000  2 Cd 3.02
Cd  0.8088  0.5000  0.3088  1 Cd 3.02, 2 Tl 3.17, 2 Na 3.36



No. 6
VIn2As2: optimized geometry, PBE.

Summary:
Magnetization ... 0.50 μB/atom
Calculated volume ... 22.56 Å³/atom
VASP energy ... -4.719 eV/atom
Symmetry ... P4/mbm, No. 127
Density ... 6.3 g/cm³

Unit cell a=6.5015 b=6.5015 c=5.3374 alpha=90.00 beta=90.00 gamma=90.00
Closest atoms and distances in Å follow each position.
Atoms (fractional coordinates):
V  0.0000  0.0000  0.0000  4 As 2.52
V  0.5000  0.5000  0.0000  4 As 2.52
In  0.1951  0.3049  0.5000  2 As 3.08, 4 In 3.33
In  0.3049  0.8049  0.5000  2 As 3.08, 4 In 3.33
In  0.6951  0.1951  0.5000  2 As 3.08, 4 In 3.33
In  0.8049  0.6951  0.5000  2 As 3.08, 4 In 3.33
As  0.1371  0.6371  0.0000  1 As 2.52, 2 V 2.52
As  0.3629  0.1371  0.0000  1 As 2.52, 2 V 2.52
As  0.6371  0.8629  0.0000  1 As 2.52, 2 V 2.52
As  0.8629  0.3629  0.0000  1 As 2.52, 2 V 2.52